Record 1
The following is a DFT calculation (PBE) of Ce3GaCo after structural relaxation.

energy of formation from the pure elements: -178 meV per atom
crystal system: orthorhombic
volume: 242.2 Å³/cell
magnetic moment: 1.1 μB per formula unit
energy relative to the lowest polymorph listed for this composition: 84.4 meV/atom

```
Ce3GaCo
1.0
-2.696 3.439 6.529
2.696 -3.439 6.529
2.696 3.439 -6.529
Ce Ga Co
6 2 2
Cartesian
2.696 1.720 -1.110
0.000 0.144 1.991
2.696 0.144 4.538
0.000 3.295 1.991
2.696 3.295 4.538
0.000 1.720 7.639
2.696 1.720 1.851
0.000 1.720 4.678
2.696 -1.720 6.259
0.000 5.159 0.270
```



Record 2
The following is a DFT calculation (PBE) of CeGaCo after structural relaxation.

energy of formation from the pure elements: -564 meV per atom
crystal system: monoclinic
volume: 109.9 Å³/cell
magnetic moment: 0.0 μB per formula unit

```
CeGaCo
1.0
5.486 -2.198 0.000
5.486 2.198 0.000
-1.220 0.000 4.558
Ce Ga Co
2 2 2
Cartesian
1.020 0.000 1.497
8.731 0.000 3.061
4.324 0.000 0.837
5.427 0.000 3.722
1.072 0.000 3.818
8.679 0.000 0.741
```



Record 3
The following is a DFT calculation (PBE) of CeGaCo after structural relaxation.

energy of formation from the pure elements: -309 meV per atom
crystal system: tetragonal
volume: 51.8 Å³/cell
magnetic moment: 0.6 μB per formula unit

```
CeGaCo
1.0
-1.519 1.519 5.612
1.519 -1.519 5.612
1.519 1.519 -5.612
Ce Ga Co
1 1 1
Cartesian
0.000 0.000 0.000
0.000 0.000 3.204
0.000 0.000 7.535
```



Record 4
The following is a DFT calculation (PBE) of Ce2GaCo3 after structural relaxation.

energy of formation from the pure elements: -249 meV per atom
crystal system: orthorhombic
volume: 209.3 Å³/cell
magnetic moment: 0.0 μB per formula unit
energy relative to the lowest polymorph listed for this composition: 97.0 meV/atom

```
Ce2GaCo3
1.0
5.576 -3.541 0.000
5.576 3.541 0.000
0.000 0.000 5.300
Ce Ga Co
4 2 6
Cartesian
3.804 2.123 3.975
7.347 2.123 3.975
3.804 -2.123 1.325
7.347 -2.123 1.325
5.576 1.445 1.325
5.576 -1.445 3.975
0.000 0.000 0.000
0.000 0.000 2.650
4.047 0.000 0.000
4.047 0.000 2.650
7.104 0.000 0.000
7.104 0.000 2.650
```



Record 5
The following is a DFT calculation (PBE) of Ce6Ga3Co after structural relaxation.

energy of formation from the pure elements: -296 meV per atom
crystal system: monoclinic
volume: 478.8 Å³/cell
magnetic moment: 3.1 μB per formula unit

```
Ce6Ga3Co
1.0
5.266 0.000 0.000
0.000 8.834 0.000
-3.579 0.000 10.291
Ce Ga Co
12 6 2
Cartesian
-0.075 1.384 0.319
-1.864 3.034 5.465
0.947 4.717 2.784
-0.842 8.535 7.930
0.887 1.519 4.427
-0.902 2.898 9.573
2.590 5.936 0.718
0.800 7.315 5.864
2.530 0.300 2.361
0.740 4.117 7.507
3.552 5.801 4.826
1.762 7.451 9.972
-1.789 0.000 5.146
0.000 4.417 0.000
-1.888 5.608 7.911
-0.099 7.643 2.765
1.786 1.191 7.526
3.576 3.226 2.380
2.633 0.000 0.000
0.844 4.417 5.146
```



Record 6
The following is a DFT calculation (PBE) of Ce2GaCo3 after structural relaxation.

energy of formation from the pure elements: -346 meV per atom
crystal system: hexagonal
volume: 190.1 Å³/cell
magnetic moment: 0.0 μB per formula unit
energy relative to the lowest polymorph listed for this composition: 0.0 meV/atom

```
Ce2GaCo3
1.0
5.299 0.000 0.000
-2.650 4.589 0.000
0.000 0.000 7.816
Ce Ga Co
4 2 6
Cartesian
0.000 3.060 0.502
0.000 3.060 3.406
2.650 1.530 4.410
2.650 1.530 7.314
0.000 0.000 0.000
0.000 0.000 3.908
0.000 1.554 5.862
-1.304 3.813 5.862
1.346 0.777 1.954
1.304 3.813 5.862
3.954 0.777 1.954
2.650 3.036 1.954
```



Record 7
The following is a DFT calculation (PBE) of Ce6GaCo2 after structural relaxation.

energy of formation from the pure elements: -238 meV per atom
crystal system: monoclinic
volume: 200.0 Å³/cell
magnetic moment: 0.5 μB per formula unit

```
Ce6GaCo2
1.0
5.140 -2.294 0.000
5.140 2.294 0.000
-0.420 0.000 8.483
Ce Ga Co
6 1 2
Cartesian
0.616 0.000 3.064
2.632 0.000 7.651
4.025 0.000 2.668
5.835 0.000 5.815
7.229 0.000 0.832
9.244 0.000 5.419
0.000 0.000 0.000
2.394 0.000 5.231
7.466 0.000 3.252
```



Record 8
The following is a DFT calculation (PBE) of CeGa9Co2 after structural relaxation.

energy of formation from the pure elements: -231 meV per atom
crystal system: tetragonal
volume: 393.8 Å³/cell
magnetic moment: 0.8 μB per formula unit
energy relative to the lowest polymorph listed for this composition: 64.4 meV/atom

```
CeGa9Co2
1.0
-5.159 5.159 3.700
5.159 -5.159 3.700
5.159 5.159 -3.700
Ce Ga Co
2 18 4
Cartesian
5.159 2.579 0.925
0.000 2.579 2.775
5.159 -2.579 2.775
3.906 -0.509 1.408
6.412 -0.509 1.408
2.071 1.326 0.441
8.246 1.326 0.441
3.906 4.650 -1.408
1.253 -0.509 2.291
2.071 3.832 0.441
3.088 -1.326 4.141
2.071 6.485 -0.441
3.088 1.326 3.258
3.906 5.667 1.408
1.253 0.509 5.108
-3.088 3.832 3.258
3.088 3.832 3.258
-1.253 5.667 2.291
1.253 5.667 2.291
0.000 7.738 0.925
0.000 0.000 0.000
2.579 2.579 -1.850
2.579 -2.579 1.850
0.000 5.159 0.000
```



Record 9
The following is a DFT calculation (PBE) of CeGa3Co2 after structural relaxation.

energy of formation from the pure elements: -393 meV per atom
crystal system: monoclinic
volume: 293.1 Å³/cell
magnetic moment: 0.0 μB per formula unit

```
CeGa3Co2
1.0
8.052 -2.002 0.000
8.052 2.002 0.000
-3.092 0.000 9.090
Ce Ga Co
3 9 6
Cartesian
0.000 0.000 0.000
0.425 0.000 6.407
12.587 0.000 2.683
-0.361 0.000 3.207
2.282 0.000 3.574
5.254 0.000 0.398
3.424 0.000 7.259
6.506 0.000 4.545
9.588 0.000 1.831
7.758 0.000 8.691
10.730 0.000 5.516
13.374 0.000 5.882
2.896 0.000 1.105
4.186 0.000 5.011
7.122 0.000 1.980
5.891 0.000 7.109
8.826 0.000 4.079
10.116 0.000 7.985
```



Record 10
The following is a DFT calculation (PBE) of CeGa7Co5 after structural relaxation.

energy of formation from the pure elements: -327 meV per atom
crystal system: orthorhombic
volume: 184.8 Å³/cell
magnetic moment: 0.0 μB per formula unit

```
CeGa7Co5
1.0
-2.548 4.299 4.218
2.548 -4.299 4.218
2.548 4.299 -4.218
Ce Ga Co
1 7 5
Cartesian
0.000 0.000 0.000
2.548 1.758 -0.049
2.548 0.000 2.031
0.000 0.000 2.957
0.000 2.952 0.242
0.000 0.000 5.595
0.000 5.645 0.242
0.000 2.540 4.170
1.324 -2.092 2.168
3.772 -2.092 2.168
1.324 2.092 2.168
3.772 2.092 2.168
0.000 4.299 2.365
```



Record 11
The following is a DFT calculation (PBE) of Ce11Ga9Co4 after structural relaxation.

energy of formation from the pure elements: -496 meV per atom
crystal system: orthorhombic
volume: 508.2 Å³/cell
magnetic moment: 2.5 μB per formula unit

```
Ce11Ga9Co4
1.0
6.887 -10.197 0.000
6.887 10.197 0.000
0.000 0.000 3.618
Ce Ga Co
11 9 4
Cartesian
0.000 0.000 0.000
3.328 3.604 0.000
6.887 6.983 0.000
4.305 0.000 0.000
6.887 2.568 0.000
3.328 -3.604 0.000
10.447 3.604 0.000
6.887 -2.568 0.000
9.469 0.000 0.000
6.887 -6.983 0.000
10.447 -3.604 0.000
2.117 1.431 1.809
5.524 4.750 1.809
2.117 -1.431 1.809
8.251 4.750 1.809
6.887 0.000 1.809
5.524 -4.750 1.809
11.658 1.431 1.809
8.251 -4.750 1.809
11.658 -1.431 1.809
4.713 2.083 1.809
4.713 -2.083 1.809
9.062 2.083 1.809
9.062 -2.083 1.809
```



Record 12
The following is a DFT calculation (PBE) of CeGdGaCo after structural relaxation.

energy of formation from the pure elements: -243 meV per atom
crystal system: cubic
volume: 87.4 Å³/cell
magnetic moment: 6.5 μB per formula unit

```
CeGdGaCo
1.0
0.000 3.522 3.522
3.522 0.000 3.522
3.522 3.522 0.000
Ce Gd Ga Co
1 1 1 1
Cartesian
0.000 0.000 0.000
3.522 3.522 3.522
5.283 5.283 5.283
1.761 1.761 1.761
```



> Number 12 is which compound?

CeGdGaCo